First-principles (PBE) data for crystalline KRb2Sn at its relaxed geometry, as listed in the Alexandria database.

```
data_KRb2Sn
_chemical_formula_sum 'K3 Rb6 Sn3'
_cell_length_a 4.1782
_cell_length_b 4.1782
_cell_length_c 46.6368
_cell_angle_alpha 90.00
_cell_angle_beta 90.00
_cell_angle_gamma 120.00
_symmetry_space_group_name_H-M 'R -3 m'
_symmetry_Int_Tables_number 166
_symmetry_space_group_name_Hall '-R 3 2"'
loop_
_atom_site_label
_atom_site_fract_x
_atom_site_fract_y
_atom_site_fract_z
_atom_site_occupancy
K1 0.0000 0.0000 0.0000 1
Rb1 0.0000 0.0000 0.4232 1
Sn1 0.0000 0.0000 0.5000 1
```

Values from the calculation:
Spin magnetization   0.000 μB per atom
Uncorrected energy   -17.42 eV for the cell shown
Energy of formation   0.31 eV/atom
V   705.08 Å³ per cell

---

First-principles (PBE) data for crystalline Na2CaI at its relaxed geometry, as listed in the Alexandria database.

```
data_Na2CaI
_chemical_formula_sum 'Na2 Ca1 I1'
_cell_length_a 3.956
_cell_length_b 3.956
_cell_length_c 9.641
_cell_angle_alpha 90.00
_cell_angle_beta 90.00
_cell_angle_gamma 90.00
_symmetry_space_group_name_H-M 'P 4/m m m'
_symmetry_Int_Tables_number 123
_symmetry_space_group_name_Hall '-P 4 2'
loop_
_atom_site_label
_atom_site_fract_x
_atom_site_fract_y
_atom_site_fract_z
_atom_site_occupancy
Na1 0.000 0.000 0.197 1
Ca1 0.500 0.500 0.500 1
I1 0.500 0.500 0.000 1
```

Values from the calculation:
Spin magnetization   0.000 μB per atom
Uncorrected formation energy   -1.76 eV per formula unit
Uncorrected energy   -7.95 eV for the cell shown
Distance to the lowest polymorph of the same formula   0 meV per atom
V   150.89 Å³ per cell

---

First-principles (PBE) data for crystalline Tb2DyEr6Th at its relaxed geometry, as listed in the Alexandria database.

```
data_Tb2DyEr6Th
_chemical_formula_sum 'Tb8 Dy4 Er24 Th4'
_cell_length_a 8.987
_cell_length_b 14.767
_cell_length_c 9.683
_cell_angle_alpha 90.00
_cell_angle_beta 99.55
_cell_angle_gamma 90.00
_symmetry_space_group_name_H-M 'C 1 2/c 1'
_symmetry_Int_Tables_number 15
_symmetry_space_group_name_Hall '-C 2yc'
loop_
_atom_site_label
_atom_site_fract_x
_atom_site_fract_y
_atom_site_fract_z
_atom_site_occupancy
Tb1 0.238 0.049 0.045 1
Dy1 0.000 0.020 0.750 1
Er1 0.068 0.190 0.441 1
Er2 0.098 0.398 0.620 1
Er3 0.197 0.226 0.817 1
Th1 0.000 0.403 0.250 1
```

Values from the calculation:
Spin magnetization   0.000 μB per atom
Uncorrected energy   -188.75 eV for the cell shown
Energy of formation   0.15 eV/atom
V   1267.24 Å³ per cell

---

First-principles (PBE) data for crystalline Pa2TiPtN5 at its relaxed geometry, as listed in the Alexandria database.

```
data_Pa2TiPtN5
_chemical_formula_sum 'Pa8 Ti4 Pt4 N20'
_cell_length_a 3.354
_cell_length_b 12.749
_cell_length_c 10.397
_cell_angle_alpha 90.00
_cell_angle_beta 90.00
_cell_angle_gamma 90.00
_symmetry_space_group_name_H-M 'C m c 21'
_symmetry_Int_Tables_number 36
_symmetry_space_group_name_Hall 'C 2c -2'
loop_
_atom_site_label
_atom_site_fract_x
_atom_site_fract_y
_atom_site_fract_z
_atom_site_occupancy
Pa1 0.000 0.098 0.000 1
Pa2 0.000 0.151 0.630 1
Ti1 0.000 0.205 0.342 1
Pt1 0.000 0.470 0.775 1
N1 0.000 0.065 0.414 1
N2 0.000 0.271 0.988 1
N3 0.000 0.316 0.705 1
N4 0.000 0.367 0.321 1
N5 0.000 0.484 0.087 1
```

Values from the calculation:
Spin magnetization   0.000 μB per atom
Uncorrected formation energy   -9.54 eV per formula unit
Uncorrected energy   -336.37 eV for the cell shown
V   444.63 Å³ per cell

---

First-principles (PBE) data for crystalline La2TbCdC at its relaxed geometry, as listed in the Alexandria database.

```
data_La2TbCdC
_chemical_formula_sum 'La2 Tb1 Cd1 C1'
_cell_length_a 5.270
_cell_length_b 5.270
_cell_length_c 4.931
_cell_angle_alpha 90.00
_cell_angle_beta 90.00
_cell_angle_gamma 90.00
_symmetry_space_group_name_H-M 'P 4/m m m'
_symmetry_Int_Tables_number 123
_symmetry_space_group_name_Hall '-P 4 2'
loop_
_atom_site_label
_atom_site_fract_x
_atom_site_fract_y
_atom_site_fract_z
_atom_site_occupancy
La1 0.000 0.500 0.000 1
Tb1 0.000 0.000 0.500 1
Cd1 0.500 0.500 0.500 1
C1 0.000 0.000 0.000 1
```

Values from the calculation:
Spin magnetization   0.000 μB per atom
Uncorrected energy   -25.62 eV for the cell shown
Energy of formation   -0.20 eV/atom
V   136.97 Å³ per cell

---

First-principles (PBE) data for crystalline TaCo5 at its relaxed geometry, as listed in the Alexandria database.

```
data_TaCo5
_chemical_formula_sum 'Ta1 Co5'
_cell_length_a 2.679
_cell_length_b 2.679
_cell_length_c 10.132
_cell_angle_alpha 90.00
_cell_angle_beta 90.00
_cell_angle_gamma 90.00
_symmetry_space_group_name_H-M 'P 4/m m m'
_symmetry_Int_Tables_number 123
_symmetry_space_group_name_Hall '-P 4 2'
loop_
_atom_site_label
_atom_site_fract_x
_atom_site_fract_y
_atom_site_fract_z
_atom_site_occupancy
Ta1 0.000 0.000 0.000 1
Co1 0.000 0.000 0.344 1
Co2 0.500 0.500 0.195 1
Co3 0.500 0.500 0.500 1
```

Values from the calculation:
Spin magnetization   1.229 μB per atom
Uncorrected energy   -47.08 eV for the cell shown
Energy of formation   0.05 eV/atom
V   72.74 Å³ per cell

---

First-principles (PBE) data for crystalline MoRuRh2 at its relaxed geometry, as listed in the Alexandria database.

```
data_MoRuRh2
_chemical_formula_sum 'Mo1 Ru1 Rh2'
_cell_length_a 2.720
_cell_length_b 3.910
_cell_length_c 5.436
_cell_angle_alpha 90.00
_cell_angle_beta 90.09
_cell_angle_gamma 90.00
_symmetry_space_group_name_H-M 'P 1 2/m 1'
_symmetry_Int_Tables_number 10
_symmetry_space_group_name_Hall '-P 2y'
loop_
_atom_site_label
_atom_site_fract_x
_atom_site_fract_y
_atom_site_fract_z
_atom_site_occupancy
Mo1 0.000 0.000 0.000 1
Ru1 0.000 0.000 0.500 1
Rh1 0.500 0.500 0.255 1
```

Values from the calculation:
Spin magnetization   0.000 μB per atom
Uncorrected energy   -35.08 eV for the cell shown
Energy of formation   -0.07 eV/atom
Distance to the lowest polymorph of the same formula   140 meV per atom
V   57.80 Å³ per cell

---

First-principles (PBE) data for crystalline Sr3B6H2O13 at its relaxed geometry, as listed in the Alexandria database.

```
data_Sr3B6H2O13
_chemical_formula_sum 'Sr6 B12 H4 O26'
_cell_length_a 6.695
_cell_length_b 6.737
_cell_length_c 11.504
_cell_angle_alpha 90.79
_cell_angle_beta 94.25
_cell_angle_gamma 93.10
_symmetry_space_group_name_H-M 'P -1'
_symmetry_Int_Tables_number 2
_symmetry_space_group_name_Hall '-P 1'
loop_
_atom_site_label
_atom_site_fract_x
_atom_site_fract_y
_atom_site_fract_z
_atom_site_occupancy
Sr1 0.068 0.375 0.265 1
Sr2 0.320 0.238 0.971 1
Sr3 0.373 0.727 0.478 1
B1 0.050 0.853 0.276 1
B2 0.117 0.779 0.066 1
B3 0.179 0.237 0.560 1
B4 0.268 0.968 0.703 1
B5 0.378 0.979 0.201 1
B6 0.461 0.662 0.773 1
H1 0.252 0.658 0.906 1
H2 0.488 0.359 0.747 1
O1 0.011 0.728 0.164 1
O2 0.014 0.276 0.626 1
O3 0.038 0.723 0.959 1
O4 0.063 0.972 0.733 1
O5 0.243 0.363 0.479 1
O6 0.265 0.899 0.295 1
O7 0.286 0.064 0.584 1
O8 0.299 0.893 0.083 1
O9 0.313 0.754 0.692 1
O10 0.366 0.199 0.194 1
O11 0.373 0.587 0.883 1
O12 0.412 0.076 0.787 1
O13 0.458 0.515 0.283 1
```

Values from the calculation:
Spin magnetization   0.000 μB per atom
Uncorrected energy   -353.82 eV for the cell shown
V   516.61 Å³ per cell

---

First-principles (PBE) data for crystalline Tb3Te5 at its relaxed geometry, as listed in the Alexandria database.

```
data_Tb3Te5
_chemical_formula_sum 'Tb6 Te10'
_cell_length_a 9.4716
_cell_length_b 9.4716
_cell_length_c 6.1656
_cell_angle_alpha 90.00
_cell_angle_beta 90.00
_cell_angle_gamma 120.00
_symmetry_space_group_name_H-M 'P 63/m c m'
_symmetry_Int_Tables_number 193
_symmetry_space_group_name_Hall '-P 6c 2'
loop_
_atom_site_label
_atom_site_fract_x
_atom_site_fract_y
_atom_site_fract_z
_atom_site_occupancy
Tb1 0.0000 0.3720 0.2500 1
Te1 0.0000 0.2765 0.7500 1
Te2 0.3333 0.6667 0.0000 1
```

Values from the calculation:
Spin magnetization   0.000 μB per atom
Uncorrected formation energy   -10.02 eV per formula unit
Uncorrected energy   -79.23 eV for the cell shown
V   479.01 Å³ per cell

---

First-principles (PBE) data for crystalline K2AcTbTe4 at its relaxed geometry, as listed in the Alexandria database.

```
data_K2AcTbTe4
_chemical_formula_sum 'K2 Ac1 Tb1 Te4'
_cell_length_a 8.121
_cell_length_b 4.680
_cell_length_c 8.694
_cell_angle_alpha 90.00
_cell_angle_beta 108.02
_cell_angle_gamma 90.00
_symmetry_space_group_name_H-M 'P 1 2/m 1'
_symmetry_Int_Tables_number 10
_symmetry_space_group_name_Hall '-P 2y'
loop_
_atom_site_label
_atom_site_fract_x
_atom_site_fract_y
_atom_site_fract_z
_atom_site_occupancy
K1 0.000 0.000 0.000 1
K2 0.500 0.500 0.000 1
Ac1 0.000 0.500 0.500 1
Tb1 0.500 0.000 0.500 1
Te1 0.256 0.000 0.720 1
Te2 0.278 0.500 0.289 1
```

Values from the calculation:
Spin magnetization   0.000 μB per atom
Uncorrected formation energy   -11.49 eV per formula unit
Uncorrected energy   -34.99 eV for the cell shown
V   314.20 Å³ per cell

---

First-principles (PBE) data for crystalline CsTl2Br6 at its relaxed geometry, as listed in the Alexandria database.

```
data_CsTl2Br6
_chemical_formula_sum 'Cs4 Tl8 Br24'
_cell_length_a 16.057
_cell_length_b 13.172
_cell_length_c 8.185
_cell_angle_alpha 90.00
_cell_angle_beta 117.28
_cell_angle_gamma 90.00
_symmetry_space_group_name_H-M 'C 1 2/c 1'
_symmetry_Int_Tables_number 15
_symmetry_space_group_name_Hall '-C 2yc'
loop_
_atom_site_label
_atom_site_fract_x
_atom_site_fract_y
_atom_site_fract_z
_atom_site_occupancy
Cs1 0.000 0.250 0.250 1
Tl1 0.249 0.091 0.997 1
Br1 0.096 0.026 0.022 1
Br2 0.096 0.473 0.023 1
Br3 0.197 0.251 0.727 1
```

Values from the calculation:
Spin magnetization   0.000 μB per atom
Uncorrected formation energy   -7.03 eV per formula unit
Uncorrected energy   -90.60 eV for the cell shown
Distance to the lowest polymorph of the same formula   0 meV per atom
V   1538.64 Å³ per cell

---

First-principles (PBE) data for crystalline Cd3CoMo at its relaxed geometry, as listed in the Alexandria database.

```
data_Cd3CoMo
_chemical_formula_sum 'Cd3 Co1 Mo1'
_cell_length_a 5.329
_cell_length_b 5.329
_cell_length_c 5.329
_cell_angle_alpha 90.00
_cell_angle_beta 90.00
_cell_angle_gamma 90.00
_symmetry_space_group_name_H-M 'P m -3 m'
_symmetry_Int_Tables_number 221
_symmetry_space_group_name_Hall '-P 4 2 3'
loop_
_atom_site_label
_atom_site_fract_x
_atom_site_fract_y
_atom_site_fract_z
_atom_site_occupancy
Cd1 0.000 0.000 0.500 1
Co1 0.500 0.500 0.500 1
Mo1 0.000 0.000 0.000 1
```

Values from the calculation:
Spin magnetization   0.983 μB per atom
Uncorrected energy   -12.60 eV for the cell shown
Energy of formation   1.62 eV/atom
Distance to the lowest polymorph of the same formula   550 meV per atom
V   151.31 Å³ per cell

---

Which value of uncorrected energy does entry 2 give? -7.95 eV for the cell shown

---

Repeat the first record exactly.
First-principles (PBE) data for crystalline KRb2Sn at its relaxed geometry, as listed in the Alexandria database.

```
data_KRb2Sn
_chemical_formula_sum 'K3 Rb6 Sn3'
_cell_length_a 4.1782
_cell_length_b 4.1782
_cell_length_c 46.6368
_cell_angle_alpha 90.00
_cell_angle_beta 90.00
_cell_angle_gamma 120.00
_symmetry_space_group_name_H-M 'R -3 m'
_symmetry_Int_Tables_number 166
_symmetry_space_group_name_Hall '-R 3 2"'
loop_
_atom_site_label
_atom_site_fract_x
_atom_site_fract_y
_atom_site_fract_z
_atom_site_occupancy
K1 0.0000 0.0000 0.0000 1
Rb1 0.0000 0.0000 0.4232 1
Sn1 0.0000 0.0000 0.5000 1
```

Values from the calculation:
Spin magnetization   0.000 μB per atom
Uncorrected energy   -17.42 eV for the cell shown
Energy of formation   0.31 eV/atom
V   705.08 Å³ per cell